No. 1
Hf2AsSe: optimized geometry, PBE.

Values from the calculation:
M_tot = 0.00 μB per formula unit
calculated volume = 26.72 A^3/atom
ΔE to the lowest computed polymorph = 585 meV/atom

Cell and atoms, written as CIF:
```
data_Hf2AsSe
_chemical_formula_sum 'Hf4 As2 Se2'
_cell_length_a 7.3177
_cell_length_b 7.3177
_cell_length_c 7.3177
_cell_angle_alpha 131.74
_cell_angle_beta 131.74
_cell_angle_gamma 70.64
_space_group_name_H-M_alt 'P 1'
_space_group_IT_number 1
_space_group_name_Hall 'P 1'
loop_
_atom_site_label
_atom_site_fract_x
_atom_site_fract_y
_atom_site_fract_z
_atom_site_occupancy
Hf1 0.1210 0.6250 0.9960 1
Hf2 0.3750 0.3710 0.4960 1
Hf3 0.6290 0.1250 0.0040 1
Hf4 0.8750 0.8790 0.5040 1
As1 0.0000 0.0000 0.0000 1
As2 0.7500 0.2500 0.5000 1
Se1 0.2500 0.7500 0.5000 1
Se2 0.5000 0.5000 0.0000 1
```

***

No. 2
Hf2AsSe: optimized geometry, PBE.

Values from the calculation:
M_tot = 0.00 μB per formula unit
calculated volume = 18.51 A^3/atom
ΔE to the lowest computed polymorph = 123 meV/atom

Cell and atoms, written as CIF:
```
data_Hf2AsSe
_chemical_formula_sum 'Hf2 As1 Se1'
_cell_length_a 4.7136
_cell_length_b 4.7136
_cell_length_c 4.7136
_cell_angle_alpha 60.00
_cell_angle_beta 60.00
_cell_angle_gamma 60.00
_space_group_name_H-M_alt 'P 1'
_space_group_IT_number 1
_space_group_name_Hall 'P 1'
loop_
_atom_site_label
_atom_site_fract_x
_atom_site_fract_y
_atom_site_fract_z
_atom_site_occupancy
Hf1 0.2500 0.2500 0.2500 1
Hf2 0.7500 0.7500 0.7500 1
As1 0.0000 0.0000 0.0000 1
Se1 0.5000 0.5000 0.5000 1
```

***

No. 3
HfAs3Se: optimized geometry, PBE.

Values from the calculation:
total energy = -4.762 eV/atom
M_tot = 0.00 μB per formula unit
calculated volume = 23.30 A^3/atom

Cell and atoms, written as CIF:
```
data_HfAs3Se
_chemical_formula_sum 'Hf1 As3 Se1'
_cell_length_a 4.8838
_cell_length_b 4.8838
_cell_length_c 4.8838
_cell_angle_alpha 90.00
_cell_angle_beta 90.00
_cell_angle_gamma 90.00
_space_group_name_H-M_alt 'P 1'
_space_group_IT_number 1
_space_group_name_Hall 'P 1'
loop_
_atom_site_label
_atom_site_fract_x
_atom_site_fract_y
_atom_site_fract_z
_atom_site_occupancy
Hf1 0.0000 0.0000 0.0000 1
As1 0.0000 0.5000 0.5000 1
As2 0.5000 0.0000 0.5000 1
As3 0.5000 0.5000 0.0000 1
Se1 0.5000 0.5000 0.5000 1
```

***

No. 4
Hf6As2Se: optimized geometry, PBE.

Values from the calculation:
total energy = -8.727 eV/atom
M_tot = 0.00 μB per formula unit
calculated volume = 20.35 A^3/atom

Cell and atoms, written as CIF:
```
data_Hf6As2Se
_chemical_formula_sum 'Hf12 As4 Se2'
_cell_length_a 6.0229
_cell_length_b 6.8492
_cell_length_c 10.6342
_cell_angle_alpha 90.00
_cell_angle_beta 123.38
_cell_angle_gamma 90.00
_space_group_name_H-M_alt 'P 1'
_space_group_IT_number 1
_space_group_name_Hall 'P 1'
loop_
_atom_site_label
_atom_site_fract_x
_atom_site_fract_y
_atom_site_fract_z
_atom_site_occupancy
Hf1 0.0682 0.2050 0.4418 1
Hf2 0.0682 0.2950 0.9418 1
Hf3 0.2882 0.6552 0.4389 1
Hf4 0.2882 0.8448 0.9389 1
Hf5 0.3988 0.0301 0.2302 1
Hf6 0.3988 0.4699 0.7302 1
Hf7 0.6012 0.5301 0.2698 1
Hf8 0.6012 0.9699 0.7698 1
Hf9 0.7118 0.1552 0.0611 1
Hf10 0.7118 0.3448 0.5611 1
Hf11 0.9318 0.7050 0.0582 1
Hf12 0.9318 0.7950 0.5582 1
As1 0.1593 0.1297 0.7297 1
As2 0.1593 0.3703 0.2297 1
As3 0.8407 0.6297 0.7703 1
As4 0.8407 0.8703 0.2703 1
Se1 0.5000 0.0000 0.5000 1
Se2 0.5000 0.5000 0.0000 1
```

***

No. 5
Hf2AsSe: optimized geometry, PBE.

Values from the calculation:
M_tot = 0.00 μB per formula unit
calculated volume = 19.85 A^3/atom
ΔE to the lowest computed polymorph = 0 meV/atom

Cell and atoms, written as CIF:
```
data_Hf2AsSe
_chemical_formula_sum 'Hf2 As1 Se1'
_cell_length_a 7.2642
_cell_length_b 7.2642
_cell_length_c 7.2642
_cell_angle_alpha 28.95
_cell_angle_beta 28.95
_cell_angle_gamma 28.95
_space_group_name_H-M_alt 'P 1'
_space_group_IT_number 1
_space_group_name_Hall 'P 1'
loop_
_atom_site_label
_atom_site_fract_x
_atom_site_fract_y
_atom_site_fract_z
_atom_site_occupancy
Hf1 0.0000 0.0000 0.0000 1
Hf2 0.1735 0.1735 0.1735 1
As1 0.5870 0.5870 0.5870 1
Se1 0.7542 0.7542 0.7542 1
```

***

No. 6
Hf2AsSe6: optimized geometry, PBE.

Values from the calculation:
total energy = -5.929 eV/atom
M_tot = 0.00 μB per formula unit
calculated volume = 28.31 A^3/atom

Cell and atoms, written as CIF:
```
data_Hf2AsSe6
_chemical_formula_sum 'Hf2 As1 Se6'
_cell_length_a 9.2401
_cell_length_b 9.2401
_cell_length_c 8.1343
_cell_angle_alpha 109.20
_cell_angle_beta 109.20
_cell_angle_gamma 22.92
_space_group_name_H-M_alt 'P 1'
_space_group_IT_number 1
_space_group_name_Hall 'P 1'
loop_
_atom_site_label
_atom_site_fract_x
_atom_site_fract_y
_atom_site_fract_z
_atom_site_occupancy
Hf1 0.1667 0.1667 0.3381 1
Hf2 0.8333 0.8333 0.6619 1
As1 0.5000 0.5000 0.0000 1
Se1 0.0106 0.0106 0.2442 1
Se2 0.3243 0.3243 0.4145 1
Se3 0.3427 0.3427 0.9047 1
Se4 0.6573 0.6573 0.0953 1
Se5 0.6757 0.6757 0.5855 1
Se6 0.9894 0.9894 0.7558 1
```

***

No. 7
HfSiAs2Se: optimized geometry, PBE.

Values from the calculation:
M_tot = 0.00 μB per formula unit
calculated volume = 27.04 A^3/atom
ΔE to the lowest computed polymorph = 15 meV/atom

Cell and atoms, written as CIF:
```
data_HfSiAs2Se
_chemical_formula_sum 'Hf1 Si1 As2 Se1'
_cell_length_a 5.1685
_cell_length_b 5.1685
_cell_length_c 5.0619
_cell_angle_alpha 90.00
_cell_angle_beta 90.00
_cell_angle_gamma 90.00
_space_group_name_H-M_alt 'P 1'
_space_group_IT_number 1
_space_group_name_Hall 'P 1'
loop_
_atom_site_label
_atom_site_fract_x
_atom_site_fract_y
_atom_site_fract_z
_atom_site_occupancy
Hf1 0.0000 0.0000 0.0000 1
Si1 0.5000 0.5000 0.5000 1
As1 0.0000 0.5000 0.0000 1
As2 0.5000 0.0000 0.0000 1
Se1 0.0000 0.0000 0.5000 1
```

***

No. 8
HfSiAs2Se: optimized geometry, PBE.

Values from the calculation:
M_tot = 0.00 μB per formula unit
calculated volume = 21.09 A^3/atom
ΔE to the lowest computed polymorph = 0 meV/atom

Cell and atoms, written as CIF:
```
data_HfSiAs2Se
_chemical_formula_sum 'Hf1 Si1 As2 Se1'
_cell_length_a 4.7142
_cell_length_b 4.7142
_cell_length_c 4.7452
_cell_angle_alpha 90.00
_cell_angle_beta 90.00
_cell_angle_gamma 90.00
_space_group_name_H-M_alt 'P 1'
_space_group_IT_number 1
_space_group_name_Hall 'P 1'
loop_
_atom_site_label
_atom_site_fract_x
_atom_site_fract_y
_atom_site_fract_z
_atom_site_occupancy
Hf1 0.0000 0.0000 0.0000 1
Si1 0.5000 0.5000 0.5000 1
As1 0.0000 0.5000 0.5000 1
As2 0.5000 0.0000 0.5000 1
Se1 0.5000 0.5000 0.0000 1
```

***

No. 9
HfSiAsSe2: optimized geometry, PBE.

Values from the calculation:
M_tot = 0.00 μB per formula unit
calculated volume = 21.28 A^3/atom
ΔE to the lowest computed polymorph = 71 meV/atom

Cell and atoms, written as CIF:
```
data_HfSiAsSe2
_chemical_formula_sum 'Hf1 Si1 As1 Se2'
_cell_length_a 4.7235
_cell_length_b 4.7235
_cell_length_c 4.7699
_cell_angle_alpha 90.00
_cell_angle_beta 90.00
_cell_angle_gamma 90.00
_space_group_name_H-M_alt 'P 1'
_space_group_IT_number 1
_space_group_name_Hall 'P 1'
loop_
_atom_site_label
_atom_site_fract_x
_atom_site_fract_y
_atom_site_fract_z
_atom_site_occupancy
Hf1 0.0000 0.0000 0.0000 1
Si1 0.5000 0.5000 0.5000 1
As1 0.5000 0.5000 0.0000 1
Se1 0.0000 0.5000 0.5000 1
Se2 0.5000 0.0000 0.5000 1
```

***

No. 10
HfSiAsSe2: optimized geometry, PBE.

Values from the calculation:
M_tot = 0.00 μB per formula unit
calculated volume = 27.23 A^3/atom
ΔE to the lowest computed polymorph = 0 meV/atom

Cell and atoms, written as CIF:
```
data_HfSiAsSe2
_chemical_formula_sum 'Hf1 Si1 As1 Se2'
_cell_length_a 5.1024
_cell_length_b 5.1024
_cell_length_c 5.2289
_cell_angle_alpha 90.00
_cell_angle_beta 90.00
_cell_angle_gamma 90.00
_space_group_name_H-M_alt 'P 1'
_space_group_IT_number 1
_space_group_name_Hall 'P 1'
loop_
_atom_site_label
_atom_site_fract_x
_atom_site_fract_y
_atom_site_fract_z
_atom_site_occupancy
Hf1 0.0000 0.0000 0.0000 1
Si1 0.5000 0.5000 0.5000 1
As1 0.0000 0.0000 0.5000 1
Se1 0.0000 0.5000 0.0000 1
Se2 0.5000 0.0000 0.0000 1
```

***

No. 11
HfSnAsSe2: optimized geometry, PBE.

Values from the calculation:
M_tot = 0.00 μB per formula unit
calculated volume = 26.97 A^3/atom
ΔE to the lowest computed polymorph = 928 meV/atom

Cell and atoms, written as CIF:
```
data_HfSnAsSe2
_chemical_formula_sum 'Hf1 Sn1 As1 Se2'
_cell_length_a 5.1189
_cell_length_b 5.1189
_cell_length_c 5.1456
_cell_angle_alpha 90.00
_cell_angle_beta 90.00
_cell_angle_gamma 90.00
_space_group_name_H-M_alt 'P 1'
_space_group_IT_number 1
_space_group_name_Hall 'P 1'
loop_
_atom_site_label
_atom_site_fract_x
_atom_site_fract_y
_atom_site_fract_z
_atom_site_occupancy
Hf1 0.0000 0.0000 0.0000 1
Sn1 0.5000 0.5000 0.5000 1
As1 0.5000 0.5000 0.0000 1
Se1 0.0000 0.5000 0.5000 1
Se2 0.5000 0.0000 0.5000 1
```

***

No. 12
HfSnAsSe2: optimized geometry, PBE.

Values from the calculation:
M_tot = 0.00 μB per formula unit
calculated volume = 27.77 A^3/atom
ΔE to the lowest computed polymorph = 0 meV/atom

Cell and atoms, written as CIF:
```
data_HfSnAsSe2
_chemical_formula_sum 'Hf1 Sn1 As1 Se2'
_cell_length_a 5.1498
_cell_length_b 5.1498
_cell_length_c 5.2364
_cell_angle_alpha 90.00
_cell_angle_beta 90.00
_cell_angle_gamma 90.00
_space_group_name_H-M_alt 'P 1'
_space_group_IT_number 1
_space_group_name_Hall 'P 1'
loop_
_atom_site_label
_atom_site_fract_x
_atom_site_fract_y
_atom_site_fract_z
_atom_site_occupancy
Hf1 0.0000 0.0000 0.0000 1
Sn1 0.5000 0.5000 0.5000 1
As1 0.0000 0.0000 0.5000 1
Se1 0.0000 0.5000 0.0000 1
Se2 0.5000 0.0000 0.0000 1
```

***

No. 13
SrHfAs2Se: optimized geometry, PBE.

Values from the calculation:
M_tot = 0.00 μB per formula unit
calculated volume = 28.06 A^3/atom
ΔE to the lowest computed polymorph = 0 meV/atom

Cell and atoms, written as CIF:
```
data_SrHfAs2Se
_chemical_formula_sum 'Sr1 Hf1 As2 Se1'
_cell_length_a 5.1841
_cell_length_b 5.1841
_cell_length_c 5.2207
_cell_angle_alpha 90.00
_cell_angle_beta 90.00
_cell_angle_gamma 90.00
_space_group_name_H-M_alt 'P 1'
_space_group_IT_number 1
_space_group_name_Hall 'P 1'
loop_
_atom_site_label
_atom_site_fract_x
_atom_site_fract_y
_atom_site_fract_z
_atom_site_occupancy
Sr1 0.0000 0.0000 0.0000 1
Hf1 0.5000 0.5000 0.5000 1
As1 0.0000 0.5000 0.5000 1
As2 0.5000 0.0000 0.5000 1
Se1 0.5000 0.5000 0.0000 1
```

***

No. 14
SrHfAs2Se: optimized geometry, PBE.

Values from the calculation:
M_tot = 0.00 μB per formula unit
calculated volume = 30.90 A^3/atom
ΔE to the lowest computed polymorph = 1750 meV/atom

Cell and atoms, written as CIF:
```
data_SrHfAs2Se
_chemical_formula_sum 'Sr1 Hf1 As2 Se1'
_cell_length_a 5.3311
_cell_length_b 5.3311
_cell_length_c 5.4365
_cell_angle_alpha 90.00
_cell_angle_beta 90.00
_cell_angle_gamma 90.00
_space_group_name_H-M_alt 'P 1'
_space_group_IT_number 1
_space_group_name_Hall 'P 1'
loop_
_atom_site_label
_atom_site_fract_x
_atom_site_fract_y
_atom_site_fract_z
_atom_site_occupancy
Sr1 0.0000 0.0000 0.0000 1
Hf1 0.5000 0.5000 0.5000 1
As1 0.0000 0.5000 0.0000 1
As2 0.5000 0.0000 0.0000 1
Se1 0.0000 0.0000 0.5000 1
```

***

No. 15
HfTaAs2Se: optimized geometry, PBE.

Values from the calculation:
M_tot = 0.00 μB per formula unit
calculated volume = 25.36 A^3/atom
ΔE to the lowest computed polymorph = 410 meV/atom

Cell and atoms, written as CIF:
```
data_HfTaAs2Se
_chemical_formula_sum 'Hf1 Ta1 As2 Se1'
_cell_length_a 5.0615
_cell_length_b 5.0615
_cell_length_c 4.9499
_cell_angle_alpha 90.00
_cell_angle_beta 90.00
_cell_angle_gamma 90.00
_space_group_name_H-M_alt 'P 1'
_space_group_IT_number 1
_space_group_name_Hall 'P 1'
loop_
_atom_site_label
_atom_site_fract_x
_atom_site_fract_y
_atom_site_fract_z
_atom_site_occupancy
Hf1 0.0000 0.0000 0.0000 1
Ta1 0.5000 0.5000 0.5000 1
As1 0.0000 0.5000 0.0000 1
As2 0.5000 0.0000 0.0000 1
Se1 0.0000 0.0000 0.5000 1
```

***

No. 16
Hf2TaAsSe: optimized geometry, PBE.

Values from the calculation:
total energy = -7.416 eV/atom
M_tot = 0.00 μB per formula unit
calculated volume = 22.86 A^3/atom

Cell and atoms, written as CIF:
```
data_Hf2TaAsSe
_chemical_formula_sum 'Hf2 Ta1 As1 Se1'
_cell_length_a 4.9491
_cell_length_b 4.9491
_cell_length_c 4.6666
_cell_angle_alpha 90.00
_cell_angle_beta 90.00
_cell_angle_gamma 90.00
_space_group_name_H-M_alt 'P 1'
_space_group_IT_number 1
_space_group_name_Hall 'P 1'
loop_
_atom_site_label
_atom_site_fract_x
_atom_site_fract_y
_atom_site_fract_z
_atom_site_occupancy
Hf1 0.0000 0.5000 0.0000 1
Hf2 0.5000 0.0000 0.0000 1
Ta1 0.0000 0.0000 0.5000 1
As1 0.5000 0.5000 0.5000 1
Se1 0.0000 0.0000 0.0000 1
```

***

No. 17
HfTaAsSe2: optimized geometry, PBE.

Values from the calculation:
M_tot = 2.19 μB per formula unit
calculated volume = 26.04 A^3/atom
ΔE to the lowest computed polymorph = 251 meV/atom

Cell and atoms, written as CIF:
```
data_HfTaAsSe2
_chemical_formula_sum 'Hf1 Ta1 As1 Se2'
_cell_length_a 5.0275
_cell_length_b 5.0275
_cell_length_c 5.1520
_cell_angle_alpha 90.00
_cell_angle_beta 90.00
_cell_angle_gamma 90.00
_space_group_name_H-M_alt 'P 1'
_space_group_IT_number 1
_space_group_name_Hall 'P 1'
loop_
_atom_site_label
_atom_site_fract_x
_atom_site_fract_y
_atom_site_fract_z
_atom_site_occupancy
Hf1 0.0000 0.0000 0.0000 1
Ta1 0.5000 0.5000 0.5000 1
As1 0.0000 0.0000 0.5000 1
Se1 0.0000 0.5000 0.0000 1
Se2 0.5000 0.0000 0.0000 1
```

***

No. 18
HfTaAsSe2: optimized geometry, PBE.

Values from the calculation:
M_tot = 0.92 μB per formula unit
calculated volume = 24.46 A^3/atom
ΔE to the lowest computed polymorph = 0 meV/atom

Cell and atoms, written as CIF:
```
data_HfTaAsSe2
_chemical_formula_sum 'Hf1 Ta1 As1 Se2'
_cell_length_a 4.9204
_cell_length_b 4.9204
_cell_length_c 5.0514
_cell_angle_alpha 90.00
_cell_angle_beta 90.00
_cell_angle_gamma 90.00
_space_group_name_H-M_alt 'P 1'
_space_group_IT_number 1
_space_group_name_Hall 'P 1'
loop_
_atom_site_label
_atom_site_fract_x
_atom_site_fract_y
_atom_site_fract_z
_atom_site_occupancy
Hf1 0.0000 0.0000 0.0000 1
Ta1 0.5000 0.5000 0.5000 1
As1 0.5000 0.5000 0.0000 1
Se1 0.0000 0.5000 0.5000 1
Se2 0.5000 0.0000 0.5000 1
```

***

No. 19
HfTaAs2Se: optimized geometry, PBE.

Values from the calculation:
M_tot = 0.22 μB per formula unit
calculated volume = 24.23 A^3/atom
ΔE to the lowest computed polymorph = 0 meV/atom

Cell and atoms, written as CIF:
```
data_HfTaAs2Se
_chemical_formula_sum 'Hf1 Ta1 As2 Se1'
_cell_length_a 4.9849
_cell_length_b 4.9849
_cell_length_c 4.8757
_cell_angle_alpha 90.00
_cell_angle_beta 90.00
_cell_angle_gamma 90.00
_space_group_name_H-M_alt 'P 1'
_space_group_IT_number 1
_space_group_name_Hall 'P 1'
loop_
_atom_site_label
_atom_site_fract_x
_atom_site_fract_y
_atom_site_fract_z
_atom_site_occupancy
Hf1 0.0000 0.0000 0.0000 1
Ta1 0.5000 0.5000 0.5000 1
As1 0.0000 0.5000 0.5000 1
As2 0.5000 0.0000 0.5000 1
Se1 0.5000 0.5000 0.0000 1
```

***

No. 20
HfTeAsSe2: optimized geometry, PBE.

Values from the calculation:
M_tot = 0.00 μB per formula unit
calculated volume = 27.81 A^3/atom
ΔE to the lowest computed polymorph = 0 meV/atom

Cell and atoms, written as CIF:
```
data_HfTeAsSe2
_chemical_formula_sum 'Hf1 Te1 As1 Se2'
_cell_length_a 5.0631
_cell_length_b 5.0631
_cell_length_c 5.4243
_cell_angle_alpha 90.00
_cell_angle_beta 90.00
_cell_angle_gamma 90.00
_space_group_name_H-M_alt 'P 1'
_space_group_IT_number 1
_space_group_name_Hall 'P 1'
loop_
_atom_site_label
_atom_site_fract_x
_atom_site_fract_y
_atom_site_fract_z
_atom_site_occupancy
Hf1 0.0000 0.0000 0.0000 1
Te1 0.5000 0.5000 0.5000 1
As1 0.0000 0.0000 0.5000 1
Se1 0.0000 0.5000 0.0000 1
Se2 0.5000 0.0000 0.0000 1
```